Record 1
Compound: Tb3Pm8Dy4
Source: the Alexandria database
Functional: GGA-PBE
Structure: relaxed

Cell lengths 7.008, 7.008, 12.579 Å; angles 73.82, 73.82, 60.00 degrees
Atoms (fractional coordinates):
Pm 0.248 0.751 0.250
Pm 0.249 0.752 0.750
Pm 0.246 0.246 0.263
Pm 0.752 0.249 0.750
Pm 0.751 0.751 0.250
Pm 0.754 0.754 0.737
Pm 0.249 0.249 0.750
Pm 0.751 0.248 0.250
Dy 0.336 0.336 0.993
Dy 0.500 0.500 0.500
Dy 0.000 0.000 0.000
Dy 0.664 0.664 0.007
Tb 0.500 0.000 0.500
Tb 0.000 0.500 0.500
Tb 0.000 0.000 0.500

Results
formation energy from the elements = 151 meV/atom
Fermi-level density of states = 24.8 states/eV per cell
crystal system = trigonal
offset from the most stable computed form = 0 meV per atom
uncorrected energy = -4.54 eV/atom
SG = R-3m, No. 166
V = 33.772 Å³ per atom

***

Record 2
Compound: Ba13Au2
Source: the Alexandria database
Functional: GGA-PBE
Structure: relaxed

Cell lengths 7.938, 10.266, 12.186 Å; angles 114.93, 89.65, 97.48 degrees
Atoms (fractional coordinates):
Au 0.806 0.845 0.728
Au 0.194 0.155 0.272
Ba 0.460 0.768 0.846
Ba 0.924 0.537 0.691
Ba 0.770 0.616 0.075
Ba 0.000 0.000 0.000
Ba 0.076 0.463 0.309
Ba 0.156 0.925 0.615
Ba 0.540 0.232 0.154
Ba 0.844 0.075 0.385
Ba 0.692 0.156 0.771
Ba 0.385 0.310 0.540
Ba 0.230 0.384 0.925
Ba 0.308 0.844 0.229
Ba 0.615 0.690 0.460

Results
formation energy from the elements = -203 meV/atom
Fermi-level density of states = 16.7 states/eV per cell
crystal system = triclinic
uncorrected energy = -2.31 eV/atom
SG = P-1, No. 2
V = 59.436 Å³ per atom

***

Record 3
Compound: RbTiRe2Te
Source: the Alexandria database
Functional: GGA-PBE
Structure: relaxed

Cell lengths 4.858, 5.564, 4.858 Å; angles 90.00, 90.00, 90.00 degrees
Site moments in Bohr magnetons follow the coordinates.
Atoms (fractional coordinates):
Ti 0.000 0.000 0.000  -0.27
Rb 0.500 0.500 0.500  0.02
Re 0.500 0.000 0.000  2.03
Re 0.000 0.000 0.500  1.78
Te 0.000 0.500 0.000  0.13

Results
Fermi-level density of states = 4.2 states/eV per cell
crystal system = tetragonal
uncorrected energy = -5.93 eV/atom
uncorrected formation energy = 1.45 eV/atom
SG = P4/mmm, No. 123
V = 26.265 Å³ per atom

***

Record 4
Compound: LiMg2TlO
Source: the Alexandria database
Functional: GGA-PBE
Structure: relaxed

Cell lengths 4.226, 4.226, 4.575 Å; angles 90.00, 90.00, 90.00 degrees
Atoms (fractional coordinates):
Mg 0.500 0.000 0.000
Mg 0.000 0.500 0.000
Tl 0.500 0.500 0.500
Li 0.000 0.000 0.500
O 0.000 0.000 0.000

Results
Fermi-level density of states = 1.6 states/eV per cell
crystal system = tetragonal
uncorrected energy = -3.47 eV/atom
uncorrected formation energy = -0.99 eV/atom
SG = P4/mmm, No. 123
V = 16.341 Å³ per atom

***

Record 5
Compound: Li2TePb
Source: the Alexandria database
Functional: GGA-PBE
Structure: relaxed

Cell lengths 9.147, 9.147, 9.147 Å; angles 22.20, 22.20, 22.20 degrees
Atoms (fractional coordinates):
Te 0.250 0.250 0.250
Li 0.510 0.510 0.510
Li 0.990 0.990 0.990
Pb 0.750 0.750 0.750

Results
Fermi-level density of states = 1.8 states/eV per cell
crystal system = trigonal
offset from the most stable computed form = 140 meV per atom
uncorrected energy = -3.05 eV/atom
uncorrected formation energy = -0.38 eV/atom
SG = R-3m, No. 166
V = 23.952 Å³ per atom

***

Record 6
Compound: Sn2AsBr
Source: the Alexandria database
Functional: GGA-PBE
Structure: relaxed

Cell lengths 5.250, 5.250, 5.250 Å; angles 60.00, 60.00, 60.00 degrees
Atoms (fractional coordinates):
As 0.000 0.000 0.000
Br 0.500 0.500 0.500
Sn 0.250 0.250 0.250
Sn 0.750 0.750 0.750

Results
Fermi-level density of states = 1.4 states/eV per cell
crystal system = cubic
offset from the most stable computed form = 233 meV per atom
uncorrected energy = -3.63 eV/atom
uncorrected formation energy = -0.05 eV/atom
SG = Fm-3m, No. 225
V = 25.582 Å³ per atom

***

Record 7
Compound: TaCd2Ru
Source: the Alexandria database
Functional: GGA-PBE
Structure: relaxed

Cell lengths 5.490, 5.490, 5.490 Å; angles 144.99, 127.08, 65.04 degrees
Atoms (fractional coordinates):
Cd 0.005 0.005 0.000
Cd 0.738 0.238 0.500
Ta 0.279 0.779 0.500
Ru 0.478 0.478 0.000

Results
formation energy from the elements = 203 meV/atom
Fermi-level density of states = 2.2 states/eV per cell
crystal system = orthorhombic
offset from the most stable computed form = 190 meV per atom
uncorrected energy = -5.54 eV/atom
SG = Imm2, No. 44
V = 18.701 Å³ per atom

***

Record 8
Compound: SrAgTe
Source: the Alexandria database
Functional: GGA-PBE
Structure: relaxed

Cell lengths 6.983, 4.774, 11.667 Å; angles 90.00, 99.32, 90.00 degrees
Atoms (fractional coordinates):
Ag 0.601 0.500 0.910
Ag 0.399 0.500 0.090
Ag 0.399 0.000 0.590
Ag 0.601 0.000 0.410
Sr 0.257 0.000 0.879
Sr 0.743 0.000 0.121
Sr 0.743 0.500 0.621
Sr 0.257 0.500 0.379
Te 0.227 0.500 0.671
Te 0.773 0.500 0.329
Te 0.773 0.000 0.829
Te 0.227 0.000 0.171

Results
crystal system = monoclinic
offset from the most stable computed form = 0 meV per atom
uncorrected energy = -3.48 eV/atom
uncorrected formation energy = -0.92 eV/atom
SG = C2/m, No. 12
V = 31.981 Å³ per atom

***

Record 9
Compound: Li2CoRh
Source: the Alexandria database
Functional: GGA-PBE
Structure: relaxed

Cell lengths 6.626, 6.626, 5.275 Å; angles 51.10, 51.10, 90.00 degrees
Site moments in Bohr magnetons follow the coordinates.
Atoms (fractional coordinates):
Li 0.875 0.869 0.750  -0.04
Li 0.619 0.125 0.250  -0.04
Li 0.131 0.625 0.250  -0.04
Li 0.375 0.381 0.750  -0.04
Rh 0.000 0.000 0.000  0.61
Rh 0.750 0.250 0.500  0.61
Co 0.250 0.750 0.500  1.84
Co 0.500 0.500 0.000  1.84

Results
formation energy from the elements = 363 meV/atom
Fermi-level density of states = 7.9 states/eV per cell
crystal system = tetragonal
offset from the most stable computed form = 400 meV per atom
uncorrected energy = -4.21 eV/atom
SG = I-42d, No. 122
V = 13.302 Å³ per atom

***

Record 10
Compound: Ba2LaCdHg6
Source: the Alexandria database
Functional: GGA-PBE
Structure: relaxed

Cell lengths 8.194, 8.194, 8.194 Å; angles 60.00, 60.00, 90.00 degrees
Atoms (fractional coordinates):
Hg 0.759 0.759 0.482
Hg 0.759 0.759 0.000
Hg 0.241 0.759 0.000
Hg 0.241 0.241 0.518
Hg 0.759 0.241 0.000
Hg 0.241 0.241 0.000
Ba 0.750 0.250 0.500
Ba 0.250 0.750 0.500
La 0.500 0.500 0.000
Cd 0.000 0.000 0.000

Results
formation energy from the elements = -165 meV/atom
Fermi-level density of states = 12.1 states/eV per cell
crystal system = cubic
uncorrected energy = -1.31 eV/atom
SG = Fm-3m, No. 225
V = 38.898 Å³ per atom

***

Record 11
Compound: NaY2GeO5
Source: the Alexandria database
Functional: GGA-PBE
Structure: relaxed

Cell lengths 5.770, 6.551, 6.551 Å; angles 90.00, 90.00, 90.00 degrees
Site moments in Bohr magnetons follow the coordinates.
Atoms (fractional coordinates):
O 0.751 0.138 0.638  0.10
O 0.751 0.362 0.138  0.10
O 0.249 0.362 0.138  0.10
O 0.500 0.000 0.000  0.01
O 0.751 0.638 0.862  0.10
O 0.249 0.862 0.362  0.10
O 0.249 0.138 0.638  0.10
O 0.249 0.638 0.862  0.10
O 0.751 0.862 0.362  0.10
O 0.500 0.500 0.500  0.01
Y 0.500 0.177 0.323  0.04
Y 0.500 0.323 0.823  0.04
Y 0.500 0.677 0.177  0.04
Y 0.500 0.823 0.677  0.04
Na 0.000 0.000 0.000  0.00
Na 0.000 0.500 0.500  0.00
Ge 0.000 0.000 0.500  0.22
Ge 0.000 0.500 0.000  0.22

Results
Fermi-level density of states = 3.5 states/eV per cell
crystal system = tetragonal
uncorrected energy = -7.21 eV/atom
uncorrected formation energy = -2.36 eV/atom
SG = P4/mbm, No. 127
V = 13.756 Å³ per atom

***

Record 12
Compound: Ca2LaMnPt
Source: the Alexandria database
Functional: GGA-PBE
Structure: relaxed

Cell lengths 5.585, 5.537, 5.585 Å; angles 90.00, 90.00, 90.00 degrees
Site moments in Bohr magnetons follow the coordinates.
Atoms (fractional coordinates):
La 0.000 0.500 0.000  0.05
Mn 0.500 0.500 0.500  -4.27
Ca 0.000 0.000 0.500  0.01
Ca 0.500 0.000 0.000  0.02
Pt 0.000 0.000 0.000  -0.01

Results
formation energy from the elements = -81 meV/atom
Fermi-level density of states = 4.5 states/eV per cell
crystal system = tetragonal
uncorrected energy = -4.91 eV/atom
SG = P4/mmm, No. 123
V = 34.542 Å³ per atom

***

Record 13
Compound: LiRh2Pb2
Source: the Alexandria database
Functional: GGA-PBE
Structure: relaxed

Cell lengths 5.216, 5.216, 5.458 Å; angles 61.45, 61.45, 90.00 degrees
Atoms (fractional coordinates):
Pb 0.250 0.750 0.500
Pb 0.750 0.250 0.500
Rh 0.662 0.662 0.677
Rh 0.338 0.338 0.323
Li 0.000 0.000 0.000

Results
formation energy from the elements = 80 meV/atom
Fermi-level density of states = 3.1 states/eV per cell
crystal system = tetragonal
offset from the most stable computed form = 198 meV per atom
uncorrected energy = -4.73 eV/atom
SG = I4/mmm, No. 139
V = 21.891 Å³ per atom

***

Record 14
Compound: Ta2TlHg
Source: the Alexandria database
Functional: GGA-PBE
Structure: relaxed

Cell lengths 3.619, 3.620, 6.372 Å; angles 90.00, 90.00, 90.00 degrees
Atoms (fractional coordinates):
Ta 0.500 0.500 0.213
Ta 0.000 0.000 0.031
Hg 0.500 0.500 0.757
Tl 0.000 0.000 0.499

Results
formation energy from the elements = 435 meV/atom
Fermi-level density of states = 2.1 states/eV per cell
crystal system = tetragonal
uncorrected energy = -6.16 eV/atom
SG = P4mm, No. 99
V = 20.867 Å³ per atom

***

Record 15
Compound: PmSmEuHo
Source: the Alexandria database
Functional: GGA-PBE
Structure: relaxed

Cell lengths 5.809, 5.809, 5.809 Å; angles 60.00, 60.00, 60.00 degrees
Site moments in Bohr magnetons follow the coordinates.
Atoms (fractional coordinates):
Ho 0.000 0.000 0.000  0.21
Sm 0.500 0.500 0.500  0.17
Pm 0.250 0.250 0.250  0.18
Eu 0.750 0.750 0.750  6.90

Results
formation energy from the elements = 158 meV/atom
Fermi-level density of states = 7.5 states/eV per cell
crystal system = cubic
uncorrected energy = -5.92 eV/atom
SG = F-43m, No. 216
V = 34.649 Å³ per atom

***

Record 16
Compound: SrCa2Ce
Source: the Alexandria database
Functional: GGA-PBE
Structure: relaxed

Cell lengths 3.763, 3.763, 13.697 Å; angles 82.10, 82.10, 60.00 degrees
Site moments in Bohr magnetons follow the coordinates.
Atoms (fractional coordinates):
Ce 0.500 0.500 0.500  1.16
Ca 0.910 0.910 0.271  0.03
Ca 0.090 0.090 0.729  0.03
Sr 0.000 0.000 0.000  0.00

Results
formation energy from the elements = 265 meV/atom
Fermi-level density of states = 10.1 states/eV per cell
crystal system = trigonal
offset from the most stable computed form = 87 meV per atom
uncorrected energy = -2.64 eV/atom
SG = R-3m, No. 166
V = 41.469 Å³ per atom

***

Record 17
Compound: CsTc3Br
Source: the Alexandria database
Functional: GGA-PBE
Structure: relaxed

Cell lengths 4.829, 4.829, 4.829 Å; angles 90.00, 90.00, 90.00 degrees
Site moments in Bohr magnetons follow the coordinates.
Atoms (fractional coordinates):
Br 0.000 0.000 0.000  -0.03
Tc 0.000 0.500 0.000  1.08
Tc 0.000 0.000 0.500  1.10
Tc 0.500 0.000 0.000  1.05
Cs 0.500 0.500 0.500  0.07

Results
Fermi-level density of states = 5.9 states/eV per cell
crystal system = cubic
offset from the most stable computed form = 0 meV per atom
uncorrected energy = -4.74 eV/atom
uncorrected formation energy = 1.99 eV/atom
SG = Pm-3m, No. 221
V = 22.515 Å³ per atom

***

Record 18
Compound: HoTm2Au6
Source: the Alexandria database
Functional: GGA-PBE
Structure: relaxed

Cell lengths 5.252, 5.215, 8.398 Å; angles 71.91, 80.97, 59.64 degrees
Atoms (fractional coordinates):
Tm 0.500 0.166 0.169
Tm 0.500 0.834 0.831
Au 0.328 0.328 0.500
Au 0.832 0.498 0.167
Au 0.832 0.165 0.833
Au 0.672 0.672 0.500
Au 0.168 0.835 0.167
Au 0.168 0.502 0.833
Ho 0.000 0.000 0.500

Results
formation energy from the elements = -812 meV/atom
Fermi-level density of states = 4.3 states/eV per cell
crystal system = monoclinic
uncorrected energy = -4.50 eV/atom
SG = C2/m, No. 12
V = 20.962 Å³ per atom

***

Record 19
Compound: Sc2Cr2Ge
Source: the Alexandria database
Functional: GGA-PBE
Structure: relaxed

Cell lengths 6.392, 6.392, 4.177 Å; angles 90.00, 90.00, 90.00 degrees
Atoms (fractional coordinates):
Cr 0.612 0.112 0.000
Cr 0.388 0.888 0.000
Cr 0.888 0.612 0.000
Cr 0.112 0.388 0.000
Sc 0.678 0.822 0.500
Sc 0.178 0.678 0.500
Sc 0.822 0.322 0.500
Sc 0.322 0.178 0.500
Ge 0.500 0.500 0.000
Ge 0.000 0.000 0.000

Results
formation energy from the elements = -70 meV/atom
Fermi-level density of states = 4.5 states/eV per cell
crystal system = tetragonal
uncorrected energy = -7.38 eV/atom
SG = P4/mbm, No. 127
V = 17.065 Å³ per atom